Entry 1:
First-principles (GGA-PBE) data for an optimized crystal structure of AsBr, as listed in Alexandria.

abc: 15.7172 3.6892 7.9308
angles: 90.00 97.40 90.00
Space group Cm (No. 8)
Asymmetric unit:
As: 0.0000 0.0000 0.0000
As: 0.0503 0.5000 0.2763
As: 0.1617 0.0000 0.2633
Br: 0.2220 0.0000 0.5534
Br: 0.3596 0.5000 0.0753
Br: 0.4798 0.0000 0.7502

Computed properties:
Energy above the most stable polymorph in this dataset   23 kJ/mol of formula units

Entry 2:
First-principles (GGA-PBE) data for an optimized crystal structure of AsBr, as listed in Alexandria.

abc: 3.3888 5.9774 4.6013
angles: 90.00 90.00 90.00
Space group Cmmm (No. 65)
Asymmetric unit:
As: 0.0000 0.0000 0.0000
Br: 0.0000 0.5000 0.5000

Computed properties:
Energy above the most stable polymorph in this dataset   130 kJ/mol of formula units

Entry 3:
First-principles (GGA-PBE) data for an optimized crystal structure of As2Br, as listed in Alexandria.

abc: 3.7865 3.7865 5.2083
angles: 90.00 90.00 90.00
Space group P4/mmm (No. 123)
Asymmetric unit:
As: 0.0000 0.5000 0.0000
Br: 0.0000 0.0000 0.5000

Computed properties:
Energy above the most stable polymorph in this dataset   138 kJ/mol of formula units

Entry 4:
First-principles (GGA-PBE) data for an optimized crystal structure of AsBr, as listed in Alexandria.

abc: 4.5084 4.5084 9.7662
angles: 90.00 90.00 120.00
Space group P6_3mc (No. 186)
Asymmetric unit:
As: 0.3333 0.6667 0.0000
Br: 0.3333 0.6667 0.4323

Computed properties:
Energy above the most stable polymorph in this dataset   181 kJ/mol of formula units

Entry 5:
First-principles (GGA-PBE) data for an optimized crystal structure of AsBr3, as listed in Alexandria.

abc: 7.2566 7.2566 5.3082
angles: 90.00 90.00 90.00
Space group P4/mbm (No. 127)
Asymmetric unit:
As: 0.0000 0.0000 0.0000
Br: 0.0000 0.0000 0.5000
Br: 0.1793 0.3207 0.0000

Entry 6:
First-principles (GGA-PBE) data for an optimized crystal structure of As2Br, as listed in Alexandria.

abc: 3.9969 24.7898 3.5479
angles: 90.00 90.00 90.00
Space group Cmcm (No. 63)
Asymmetric unit:
As: 0.0000 0.0321 0.2500
As: 0.0000 0.2673 0.7500
Br: 0.0000 0.3505 0.2500

Computed properties:
Energy above the most stable polymorph in this dataset   100 kJ/mol of formula units

Entry 7:
First-principles (GGA-PBE) data for an optimized crystal structure of AsBr, as listed in Alexandria.

abc: 3.4237 3.4237 8.9722
angles: 90.00 90.00 120.00
Space group P6_3/mmc (No. 194)
Asymmetric unit:
As: 0.3333 0.6667 0.2500
Br: 0.0000 0.0000 0.0000

Computed properties:
Energy above the most stable polymorph in this dataset   142 kJ/mol of formula units

Entry 8:
First-principles (GGA-PBE) data for an optimized crystal structure of AsBr, as listed in Alexandria.

abc: 3.6386 4.5413 14.3561
angles: 90.00 90.00 90.00
Space group Imma (No. 74)
Asymmetric unit:
As: 0.0000 0.2500 0.1870
Br: 0.0000 0.2500 0.6302

Computed properties:
Energy above the most stable polymorph in this dataset   67 kJ/mol of formula units

Entry 9:
First-principles (GGA-PBE) data for an optimized crystal structure of As3Br2, as listed in Alexandria.

abc: 10.7497 12.5126 8.5627
angles: 90.00 90.00 90.00
Space group Fdd2 (No. 43)
Asymmetric unit:
As: 0.0000 0.0000 0.0000
As: 0.1211 0.0550 0.2397
Br: 0.0607 0.2952 0.9076

Computed properties:
Energy above the most stable polymorph in this dataset   0 kJ/mol of formula units

Entry 10:
First-principles (GGA-PBE) data for an optimized crystal structure of AsBr3, as listed in Alexandria.

abc: 8.5903 8.5903 5.2322
angles: 90.00 90.00 120.00
Space group R-3m (No. 166, hexagonal axes)
Asymmetric unit:
As: 0.0000 0.0000 0.0000
Br: 0.0000 0.5000 0.0000

Entry 11:
First-principles (GGA-PBE) data for an optimized crystal structure of As2Br, as listed in Alexandria.

abc: 3.5460 3.5460 23.7410
angles: 90.00 90.00 90.00
Space group I4_1/amd (No. 141, origin choice 2)
Asymmetric unit:
As: 0.0000 0.2500 0.2847
Br: 0.0000 0.2500 0.8750

Computed properties:
Energy above the most stable polymorph in this dataset   113 kJ/mol of formula units

Entry 12:
First-principles (GGA-PBE) data for an optimized crystal structure of AsBr3, as listed in Alexandria.

abc: 5.2209 7.7285 9.5135
angles: 90.00 90.00 90.00
Space group Pmmn (No. 59, origin choice 2)
Asymmetric unit:
As: 0.2500 0.2500 0.1663
Br: 0.2500 0.0155 0.3236
Br: 0.2500 0.7500 0.9073

Results for uncorrected energy: -39.361, -10.894, -9.987, -9.834, -21.367, -41.545, -10.637, -24.389, -139.819, -23.286, -41.020, -22.513 (in eV/cell, following the order of the records).
Results for ΔE_f (raw): -0.119, 0.438, 0.328, 0.703, -0.254, 0.195, 0.502, 0.113, -0.037, 0.477, 0.239, -0.397 (in eV per atom, following the order of the records).